[1]
First-principles (PBE-GGA) data for CoSe5 after structural relaxation, as listed in the Alexandria database.

Symmetry   P-62m (189)
Theoretical density   6.2 g/cm³
Uncorrected formation energy   287 meV/atom
Final energy   -3.80 eV/atom

abc: 6.4049 6.4049 3.4351
angles: 90.00 90.00 120.00
Closest atoms and distances in Å follow each position.
Fractional coordinates of all 6 atoms:
Co 0.0000 0.0000 0.0000  6 Se 2.42
Se 0.0000 0.7328 0.5000  2 Co 2.42
Se 0.2672 0.2672 0.5000  2 Co 2.42
Se 0.3333 0.6667 0.0000  6 Se 2.93
Se 0.6667 0.3333 0.0000  6 Se 2.93
Se 0.7328 0.0000 0.5000  2 Co 2.42

=====

[2]
First-principles (PBE-GGA) data for Mg3H2Ir after structural relaxation, as listed in the Alexandria database.

Symmetry   P-1 (2)
Theoretical density   4.9 g/cm³
Energy above the most stable polymorph in this dataset   30 meV/atom
Final energy   -3.65 eV/atom

abc: 3.0267 4.5566 7.0307
angles: 72.72 77.63 89.92
Closest atoms and distances in Å follow each position.
Fractional coordinates of all 6 atoms:
Mg 0.0000 0.0000 0.0000  4 H 2.19-2.20
Mg 0.1734 0.6952 0.6504  2 H 2.33
Mg 0.8266 0.3048 0.3496  2 H 2.33
H 0.4099 0.6841 0.1797  1 Ir 1.69
H 0.5901 0.3159 0.8203  1 Ir 1.69
Ir 0.5000 0.5000 0.0000  2 H 1.69

=====

[3]
First-principles (PBE-GGA) data for Ce2Dy3UAs6 after structural relaxation, as listed in the Alexandria database.

Symmetry   C2/m (12)
Theoretical density   8.0 g/cm³
Energy of formation   -1.361 eV per atom
Final energy   -6.77 eV/atom

abc: 9.2734 9.2734 8.3099
angles: 103.11 103.11 25.77
Closest atoms and distances in Å follow each position.
Fractional coordinates of all 12 atoms:
Ce 0.1657 0.1657 0.3323  6 As 2.95-2.96
Ce 0.8343 0.8343 0.6677  6 As 2.95-2.96
Dy 0.1680 0.1680 0.8327  6 As 2.91-2.93
Dy 0.5000 0.5000 0.5000  6 As 2.92-2.95
Dy 0.8320 0.8320 0.1673  6 As 2.91-2.93
U 0.5000 0.5000 0.0000  6 As 2.91-2.92
As 0.0021 0.0021 0.7537  2 U 2.92, 3 Dy 2.92-2.95, 1 Ce 2.95
As 0.3341 0.3341 0.4144  3 Dy 2.91-2.92, 3 Ce 2.95-2.96
As 0.3348 0.3348 0.9216  1 U 2.91, 3 Dy 2.91-2.93, 2 Ce 2.95
As 0.6652 0.6652 0.0784  1 U 2.91, 3 Dy 2.91-2.93, 2 Ce 2.95
As 0.6659 0.6659 0.5856  3 Dy 2.91-2.92, 3 Ce 2.95-2.96
As 0.9979 0.9979 0.2463  2 U 2.92, 3 Dy 2.92-2.95, 1 Ce 2.95

=====

[4]
First-principles (PBE-GGA) data for ScCr2Pt after structural relaxation, as listed in the Alexandria database.

Symmetry   Pmmm (47)
Theoretical density   9.6 g/cm³
Energy of formation   0.155 eV per atom
Final energy   -7.75 eV/atom

abc: 2.6882 4.3112 5.1427
angles: 90.00 90.00 90.00
Closest atoms and distances in Å follow each position.
Fractional coordinates of all 4 atoms:
Sc 0.0000 0.0000 0.0000  2 Pt 2.57, 2 Sc 2.69, 8 Cr 2.86
Cr 0.5000 0.5000 0.2553  4 Cr 2.52-2.69
Cr 0.5000 0.5000 0.7447  4 Cr 2.52-2.69
Pt 0.0000 0.0000 0.5000  2 Sc 2.57, 2 Pt 2.69, 8 Cr 2.83

=====

[5]
First-principles (PBE-GGA) data for AgSbN after structural relaxation, as listed in the Alexandria database.

Symmetry   P-1 (2)
Theoretical density   4.8 g/cm³
Energy above the most stable polymorph in this dataset   0 meV/atom
Uncorrected formation energy   115 meV/atom
Final energy   -4.98 eV/atom

abc: 3.1412 3.9476 13.7387
angles: 96.81 96.54 90.22
Closest atoms and distances in Å follow each position.
Fractional coordinates of all 6 atoms:
Ag 0.2218 0.2264 0.4436  6 Ag 2.94-3.14, 5 Sb 2.97-3.11
Ag 0.7782 0.7736 0.5564  6 Ag 2.94-3.14, 5 Sb 2.97-3.11
Sb 0.3362 0.3221 0.6727  5 Ag 2.97-3.11, 2 Sb 3.14
Sb 0.6638 0.6779 0.3273  5 Ag 2.97-3.11, 2 Sb 3.14
N 0.4845 0.8955 0.9684  1 N 1.12
N 0.5155 0.1045 0.0316  1 N 1.12

=====

[6]
First-principles (PBE-GGA) data for Ba2GaSiPt after structural relaxation, as listed in the Alexandria database.

Symmetry   P4/mmm (123)
Theoretical density   5.3 g/cm³
Uncorrected formation energy   -258 meV/atom
Final energy   -3.92 eV/atom

abc: 6.0874 6.0874 4.7838
angles: 90.00 90.00 90.00
Closest atoms and distances in Å follow each position.
Fractional coordinates of all 5 atoms:
Ba 0.0000 0.5000 0.0000  2 Pt 3.04
Ba 0.5000 0.0000 0.0000  2 Pt 3.04
Ga 0.0000 0.0000 0.5000  2 Pt 2.39
Si 0.5000 0.5000 0.5000  8 Ba 3.87, 4 Ga 4.30
Pt 0.0000 0.0000 0.0000  2 Ga 2.39

=====

[7]
First-principles (PBE-GGA) data for Al5GaCo6 after structural relaxation, as listed in the Alexandria database.

Symmetry   Cmmm (65)
Theoretical density   6.6 g/cm³
Energy of formation   -0.553 eV per atom
Final energy   -5.92 eV/atom

abc: 6.3839 6.3839 5.7195
angles: 90.00 90.00 143.14
Closest atoms and distances in Å follow each position.
Fractional coordinates of all 12 atoms:
Al 0.0000 0.0000 0.0000  8 Co 2.47
Al 0.3321 0.6679 0.5000  8 Co 2.46-2.49
Al 0.3332 0.6668 0.0000  8 Co 2.47
Al 0.6668 0.3332 0.0000  8 Co 2.47
Al 0.6679 0.3321 0.5000  8 Co 2.46-2.49
Ga 0.0000 0.0000 0.5000  8 Co 2.47-2.48
Co 0.1666 0.8334 0.2496  7 Al 2.46-2.48, 1 Ga 2.48
Co 0.1666 0.8334 0.7504  7 Al 2.46-2.48, 1 Ga 2.48
Co 0.5000 0.5000 0.2498  6 Al 2.47-2.49, 2 Ga 2.47
Co 0.5000 0.5000 0.7502  6 Al 2.47-2.49, 2 Ga 2.47
Co 0.8334 0.1666 0.2496  7 Al 2.46-2.48, 1 Ga 2.48
Co 0.8334 0.1666 0.7504  7 Al 2.46-2.48, 1 Ga 2.48

=====

[8]
First-principles (PBE-GGA) data for K3Cd4Sn2 after structural relaxation, as listed in the Alexandria database.

Symmetry   P-1 (2)
Theoretical density   4.3 g/cm³
Energy above the most stable polymorph in this dataset   0 meV/atom
Energy of formation   -0.135 eV per atom
Final energy   -1.80 eV/atom

abc: 5.0483 6.8478 10.1248
angles: 106.07 90.25 111.62
Closest atoms and distances in Å follow each position.
Fractional coordinates of all 9 atoms:
K 0.0000 0.0000 0.0000  6 Cd 3.68-3.82, 2 Sn 3.76
K 0.3877 0.7741 0.6303  6 Cd 3.62-3.76, 4 Sn 3.77-3.93
K 0.6123 0.2259 0.3697  6 Cd 3.62-3.76, 4 Sn 3.77-3.93
Cd 0.0913 0.1837 0.6315  2 Cd 2.97-3.26, 2 Sn 3.02-3.03
Cd 0.2795 0.5582 0.9320  3 Sn 3.04-3.09, 3 Cd 3.06-3.26
Cd 0.7205 0.4418 0.0680  3 Sn 3.04-3.09, 3 Cd 3.06-3.26
Cd 0.9087 0.8163 0.3685  2 Cd 2.97-3.26, 2 Sn 3.02-3.03
Sn 0.2887 0.5793 0.2404  5 Cd 3.02-3.09
Sn 0.7113 0.4207 0.7595  5 Cd 3.02-3.09